Entry 1:
First-principles (GGA-PBE) data for a geometry-optimized HoTm4Sc2 structure, as listed in Alexandria via LeMat-Bulk.

POSCAR file:
```
HoTm4Sc2
1.0
6.055 0.000 0.000
-3.019 7.556 0.000
-0.008 -0.955 8.804
Ho Tm Sc
2 8 4
Cartesian
0.000 0.000 0.000
-0.008 6.351 1.291
-1.006 3.176 0.688
-0.032 1.465 6.268
-1.034 4.620 6.865
2.016 -0.479 4.428
3.025 0.274 7.559
1.998 3.415 8.158
3.007 5.081 2.586
5.019 0.782 3.183
0.027 3.893 3.807
1.991 1.971 1.953
2.993 2.716 5.012
1.991 5.826 5.648
```

Entry 2:
First-principles (GGA-PBE) data for a geometry-optimized HoTm3Sc structure, as listed in Alexandria via LeMat-Bulk.

POSCAR file:
```
HoTm3Sc
1.0
8.540 0.000 0.000
0.000 5.913 0.000
-3.167 0.000 11.599
Ho Tm Sc
4 12 4
Cartesian
1.682 1.012 1.453
0.098 1.945 7.252
5.275 3.968 4.347
3.691 4.901 10.146
-2.164 0.972 9.580
-0.580 1.985 3.780
-1.762 3.921 11.323
-0.179 4.948 5.523
2.168 4.097 3.192
0.584 4.773 8.991
4.789 1.140 2.608
3.205 1.816 8.407
5.552 0.965 6.076
7.135 1.992 0.276
5.953 3.929 7.819
7.537 4.941 2.019
2.454 1.369 5.000
0.871 1.587 10.799
4.502 4.326 0.800
2.919 4.544 6.599
```

Entry 3:
First-principles (GGA-PBE) data for a geometry-optimized Ho7Tm4Sc structure, as listed in Alexandria via LeMat-Bulk.

POSCAR file:
```
Ho7Tm4Sc
1.0
5.907 -2.862 0.000
5.907 2.862 0.000
-5.849 0.000 11.139
Ho Tm Sc
7 4 1
Cartesian
0.000 0.000 0.000
-1.316 0.000 5.521
3.022 0.000 0.824
1.021 0.000 7.739
4.945 0.000 3.400
2.943 0.000 10.315
7.281 0.000 5.618
-2.883 0.000 8.626
1.313 0.000 3.618
4.653 0.000 7.521
8.849 0.000 2.513
5.907 0.000 0.000
```

Entry 4:
First-principles (GGA-PBE) data for a geometry-optimized Ho4Tm4Sc3 structure, as listed in Alexandria via LeMat-Bulk.

POSCAR file:
```
Ho4Tm4Sc3
1.0
10.300 0.000 0.000
0.000 2.716 5.784
0.000 -2.716 5.784
Ho Tm Sc
4 4 3
Cartesian
0.000 0.000 0.000
2.114 0.000 9.223
5.150 0.000 10.687
8.186 0.000 9.223
0.000 0.000 6.840
3.018 0.000 1.606
5.150 0.000 7.441
7.282 0.000 1.606
0.000 0.000 3.439
2.898 0.000 5.172
7.402 0.000 5.172
```

Entry 5:
First-principles (GGA-PBE) data for a geometry-optimized Ho3Tm2Sc7 structure, as listed in Alexandria via LeMat-Bulk.

POSCAR file:
```
Ho3Tm2Sc7
1.0
5.437 0.000 0.000
0.000 3.399 0.000
-0.883 0.000 17.613
Ho Tm Sc
3 2 7
Cartesian
0.000 0.000 0.000
0.942 1.699 11.120
3.612 1.699 6.493
0.888 0.000 5.119
3.666 0.000 12.494
0.945 1.699 2.494
0.915 0.000 8.152
0.912 0.000 14.551
2.719 1.699 0.000
3.642 0.000 3.062
3.640 0.000 9.461
3.609 1.699 15.120
```

Entry 6:
First-principles (GGA-PBE) data for a geometry-optimized Ho12TmSc6 structure, as listed in Alexandria via LeMat-Bulk.

POSCAR file:
```
Ho12TmSc6
1.0
-5.195 5.195 5.195
5.195 -5.195 5.195
5.195 5.195 -5.195
Ho Tm Sc
12 1 6
Cartesian
5.195 -2.428 3.164
2.767 2.031 0.000
7.623 2.031 0.000
3.164 5.195 -2.428
2.031 0.000 2.767
0.000 2.767 2.031
5.195 2.428 3.164
3.164 5.195 2.428
2.031 0.000 7.623
-2.428 3.164 5.195
2.428 3.164 5.195
0.000 7.623 2.031
0.000 0.000 0.000
5.195 0.000 1.433
5.195 3.762 0.000
1.433 5.195 0.000
3.762 0.000 5.195
0.000 1.433 5.195
0.000 5.195 3.762
```

Entry 7:
First-principles (GGA-PBE) data for a geometry-optimized Ho3Tm2Sc2 structure, as listed in Alexandria via LeMat-Bulk.

POSCAR file:
```
Ho3Tm2Sc2
1.0
7.487 -1.722 0.000
7.487 1.722 0.000
-3.114 0.000 7.804
Ho Tm Sc
3 2 2
Cartesian
0.000 0.000 0.000
1.625 0.000 6.644
10.235 0.000 1.161
5.538 0.000 2.276
6.321 0.000 5.528
0.835 0.000 3.369
11.024 0.000 4.435
```

Entry 8:
First-principles (GGA-PBE) data for a geometry-optimized HoTm3Sc6 structure, as listed in Alexandria via LeMat-Bulk.

POSCAR file:
```
HoTm3Sc6
1.0
4.588 2.649 3.777
-4.588 2.649 3.777
0.000 -5.298 3.777
Ho Tm Sc
1 3 6
Cartesian
0.000 0.000 0.000
0.000 0.000 2.799
0.000 0.000 5.660
0.000 0.000 8.453
-1.517 -2.614 3.908
-3.073 -0.027 5.797
-1.505 2.620 3.908
1.559 -2.648 5.797
3.022 -0.007 3.908
1.513 2.675 5.797
```

Per-record E_form, eV/atom: 0.012; 0.068; 0.297; 0.182; 0.099; 0.239; 0.046; 0.396